Computed, not measured: a geometry-optimized LiNdPF structure at the PBE level of DFT.

Cell lengths 3.885, 3.885, 8.939 Å; angles 90.00, 90.00, 90.00 degrees
Fractional coordinates of all 8 atoms:
1 Li 0.500 0.500 0.500
2 Li 0.000 0.000 0.500
3 P 0.000 0.500 0.318
4 P 0.500 0.000 0.682
5 F 0.000 0.000 0.000
6 F 0.500 0.500 0.000
7 Nd 0.500 0.000 0.181
8 Nd 0.000 0.500 0.819

Uncorrected formation energy = -2.096 eV per atom
E = -22.35 eV per formula unit